# GGA+U LiVCoF6, relaxed
data_LiVCoF6
_cell_length_a 4.730
_cell_length_b 4.730
_cell_length_c 9.376
_cell_angle_alpha 90.00
_cell_angle_beta 90.00
_cell_angle_gamma 90.00
_symmetry_space_group_name_H-M 'P 1'
_symmetry_Int_Tables_number 1
loop_
_symmetry_equiv_pos_as_xyz
'x,y,z'
loop_
_atom_site_label
_atom_site_fract_x
_atom_site_fract_y
_atom_site_fract_z
_atom_site_occupancy
F1 0.196 0.804 0.173 1
F2 0.794 0.206 0.833 1
F3 0.294 0.294 0.333 1
F4 0.706 0.706 0.333 1
F5 0.206 0.794 0.833 1
F6 0.806 0.194 0.494 1
F7 0.804 0.196 0.173 1
F8 0.694 0.694 0.994 1
F9 0.304 0.304 0.673 1
F10 0.306 0.306 0.994 1
F11 0.194 0.806 0.494 1
F12 0.696 0.696 0.673 1
Co1 0.000 0.000 0.667 1
Co2 0.500 0.500 0.167 1
V1 0.500 0.500 0.833 1
V2 0.000 0.000 0.333 1
Li1 0.500 0.500 0.500 1
Li2 0.000 0.000 0.000 1
# Uncorrected energy   -5.52 eV/atom

---

# GGA+U Li2YCoF8, relaxed
data_Li2YCoF8
_cell_length_a 4.748
_cell_length_b 4.755
_cell_length_c 6.582
_cell_angle_alpha 88.87
_cell_angle_beta 90.89
_cell_angle_gamma 88.31
_symmetry_space_group_name_H-M 'P 1'
_symmetry_Int_Tables_number 1
loop_
_symmetry_equiv_pos_as_xyz
'x,y,z'
loop_
_atom_site_label
_atom_site_fract_x
_atom_site_fract_y
_atom_site_fract_z
_atom_site_occupancy
Li1 0.502 0.500 0.253 1
Li2 0.498 0.500 0.747 1
F1 0.806 0.194 0.778 1
F2 0.684 0.686 0.500 1
F3 0.205 0.794 0.769 1
F4 0.316 0.314 0.500 1
F5 0.194 0.806 0.222 1
F6 0.266 0.265 0.999 1
F7 0.795 0.206 0.231 1
F8 0.734 0.735 0.001 1
Co1 0.000 0.000 0.000 1
Y1 0.000 0.000 0.500 1
# Uncorrected energy   -5.45 eV/atom

---

# GGA+U Li2ZnCoF8, relaxed
data_Li2ZnCoF8
_cell_length_a 4.640
_cell_length_b 4.639
_cell_length_c 6.214
_cell_angle_alpha 90.00
_cell_angle_beta 90.00
_cell_angle_gamma 93.64
_symmetry_space_group_name_H-M 'P 1'
_symmetry_Int_Tables_number 1
loop_
_symmetry_equiv_pos_as_xyz
'x,y,z'
loop_
_atom_site_label
_atom_site_fract_x
_atom_site_fract_y
_atom_site_fract_z
_atom_site_occupancy
F1 0.810 0.190 0.764 1
F2 0.190 0.810 0.764 1
F3 0.702 0.702 0.500 1
F4 0.298 0.298 0.500 1
F5 0.289 0.289 0.000 1
F6 0.190 0.810 0.236 1
F7 0.711 0.711 0.000 1
F8 0.810 0.190 0.236 1
Co1 0.000 0.000 0.000 1
Zn1 0.000 0.000 0.500 1
Li1 0.500 0.500 0.252 1
Li2 0.500 0.500 0.748 1
# Uncorrected energy   -4.32 eV/atom

---

# GGA+U MgCoF, relaxed
data_MgCoF
_cell_length_a 12.705
_cell_length_b 2.988
_cell_length_c 2.988
_cell_angle_alpha 60.03
_cell_angle_beta 83.18
_cell_angle_gamma 76.38
_symmetry_space_group_name_H-M 'P 1'
_symmetry_Int_Tables_number 1
loop_
_symmetry_equiv_pos_as_xyz
'x,y,z'
loop_
_atom_site_label
_atom_site_fract_x
_atom_site_fract_y
_atom_site_fract_z
_atom_site_occupancy
F1 0.000 0.704 0.516 1
F2 0.594 0.444 0.845 1
Mg1 0.689 0.015 0.511 1
Mg2 0.083 0.955 0.848 1
Co1 0.401 0.637 0.846 1
Co2 0.261 0.110 0.181 1
# Uncorrected energy   -3.92 eV/atom

---

# GGA+U MgCoF, relaxed
data_MgCoF
_cell_length_a 7.076
_cell_length_b 3.166
_cell_length_c 3.613
_cell_angle_alpha 90.00
_cell_angle_beta 90.01
_cell_angle_gamma 89.77
_symmetry_space_group_name_H-M 'P 1'
_symmetry_Int_Tables_number 1
loop_
_symmetry_equiv_pos_as_xyz
'x,y,z'
loop_
_atom_site_label
_atom_site_fract_x
_atom_site_fract_y
_atom_site_fract_z
_atom_site_occupancy
Co1 0.195 0.030 0.737 1
Co2 0.265 0.530 0.237 1
F1 0.753 0.530 0.736 1
F2 0.707 0.031 0.236 1
Mg1 0.559 0.032 0.736 1
Mg2 0.901 0.529 0.236 1
# Uncorrected energy   -4.16 eV/atom

---

# GGA+U MgCoF2, relaxed
data_MgCoF2
_cell_length_a 8.161
_cell_length_b 8.161
_cell_length_c 8.161
_cell_angle_alpha 20.96
_cell_angle_beta 20.96
_cell_angle_gamma 20.96
_symmetry_space_group_name_H-M 'P 1'
_symmetry_Int_Tables_number 1
loop_
_symmetry_equiv_pos_as_xyz
'x,y,z'
loop_
_atom_site_label
_atom_site_fract_x
_atom_site_fract_y
_atom_site_fract_z
_atom_site_occupancy
F1 0.125 0.125 0.125 1
F2 0.875 0.875 0.875 1
Co1 0.000 0.000 0.000 1
Mg1 0.500 0.500 0.500 1
# Uncorrected energy   -4.59 eV/atom

---

# GGA+U MgCoF, relaxed
data_MgCoF
_cell_length_a 6.916
_cell_length_b 3.166
_cell_length_c 4.894
_cell_angle_alpha 130.17
_cell_angle_beta 89.98
_cell_angle_gamma 90.02
_symmetry_space_group_name_H-M 'P 1'
_symmetry_Int_Tables_number 1
loop_
_symmetry_equiv_pos_as_xyz
'x,y,z'
loop_
_atom_site_label
_atom_site_fract_x
_atom_site_fract_y
_atom_site_fract_z
_atom_site_occupancy
Co1 0.222 0.087 0.157 1
Co2 0.238 0.087 0.657 1
Mg1 0.559 0.587 0.157 1
Mg2 0.901 0.587 0.657 1
F1 0.751 0.087 0.157 1
F2 0.709 0.087 0.657 1
# Uncorrected energy   -4.20 eV/atom

---

# GGA+U MgCoF, relaxed
data_MgCoF
_cell_length_a 6.030
_cell_length_b 6.683
_cell_length_c 3.014
_cell_angle_alpha 89.93
_cell_angle_beta 104.67
_cell_angle_gamma 52.83
_symmetry_space_group_name_H-M 'P 1'
_symmetry_Int_Tables_number 1
loop_
_symmetry_equiv_pos_as_xyz
'x,y,z'
loop_
_atom_site_label
_atom_site_fract_x
_atom_site_fract_y
_atom_site_fract_z
_atom_site_occupancy
Mg1 0.843 0.168 0.844 1
Mg2 0.900 0.654 0.378 1
F1 0.574 0.363 0.207 1
F2 0.017 0.885 0.433 1
Co1 0.291 0.214 0.067 1
Co2 0.404 0.889 0.623 1
# Uncorrected energy   -3.95 eV/atom

---

# GGA+U MgCoF2, relaxed
data_MgCoF2
_cell_length_a 5.411
_cell_length_b 5.411
_cell_length_c 6.023
_cell_angle_alpha 63.31
_cell_angle_beta 63.31
_cell_angle_gamma 90.00
_symmetry_space_group_name_H-M 'P 1'
_symmetry_Int_Tables_number 1
loop_
_symmetry_equiv_pos_as_xyz
'x,y,z'
loop_
_atom_site_label
_atom_site_fract_x
_atom_site_fract_y
_atom_site_fract_z
_atom_site_occupancy
F1 0.375 0.505 0.750 1
F2 0.875 0.745 0.750 1
F3 0.495 0.125 0.250 1
F4 0.255 0.625 0.250 1
Co1 0.000 0.000 0.000 1
Co2 0.750 0.250 0.500 1
Mg1 0.250 0.750 0.500 1
Mg2 0.500 0.500 0.000 1
# Uncorrected energy   -4.25 eV/atom

---

# GGA+U MgCoF, relaxed
data_MgCoF
_cell_length_a 3.548
_cell_length_b 3.548
_cell_length_c 7.090
_cell_angle_alpha 90.00
_cell_angle_beta 90.00
_cell_angle_gamma 90.00
_symmetry_space_group_name_H-M 'P 1'
_symmetry_Int_Tables_number 1
loop_
_symmetry_equiv_pos_as_xyz
'x,y,z'
loop_
_atom_site_label
_atom_site_fract_x
_atom_site_fract_y
_atom_site_fract_z
_atom_site_occupancy
F1 0.500 0.500 0.500 1
F2 0.000 0.000 0.500 1
Mg1 0.500 0.000 0.115 1
Mg2 0.000 0.500 0.885 1
Co1 0.000 0.500 0.321 1
Co2 0.500 0.000 0.679 1
# Uncorrected energy   -3.48 eV/atom

---

# GGA+U Mg6Co4F19, relaxed
data_Mg6Co4F19
_cell_length_a 7.691
_cell_length_b 7.691
_cell_length_c 7.691
_cell_angle_alpha 109.47
_cell_angle_beta 109.47
_cell_angle_gamma 109.47
_symmetry_space_group_name_H-M 'P 1'
_symmetry_Int_Tables_number 1
loop_
_symmetry_equiv_pos_as_xyz
'x,y,z'
loop_
_atom_site_label
_atom_site_fract_x
_atom_site_fract_y
_atom_site_fract_z
_atom_site_occupancy
F1 0.234 0.975 0.643 1
F2 0.668 0.025 0.260 1
F3 0.649 0.649 0.000 1
F4 0.357 0.332 0.591 1
F5 0.000 0.351 0.351 1
F6 0.351 0.000 0.351 1
F7 0.000 0.649 0.649 1
F8 0.000 0.000 0.000 1
F9 0.260 0.668 0.025 1
F10 0.643 0.234 0.975 1
F11 0.591 0.357 0.332 1
F12 0.766 0.409 0.740 1
F13 0.975 0.643 0.234 1
F14 0.351 0.351 0.000 1
F15 0.025 0.260 0.668 1
F16 0.740 0.766 0.409 1
F17 0.409 0.740 0.766 1
F18 0.649 0.000 0.649 1
F19 0.332 0.591 0.357 1
Mg1 0.327 0.500 0.827 1
Mg2 0.500 0.173 0.673 1
Mg3 0.173 0.673 0.500 1
Mg4 0.827 0.327 0.500 1
Mg5 0.673 0.500 0.173 1
Mg6 0.500 0.827 0.327 1
Co1 0.000 0.703 0.000 1
Co2 0.000 0.000 0.703 1
Co3 0.297 0.297 0.297 1
Co4 0.703 0.000 0.000 1
# Uncorrected energy   -5.05 eV/atom

---

# GGA+U MgCoF, relaxed
data_MgCoF
_cell_length_a 3.355
_cell_length_b 3.355
_cell_length_c 9.864
_cell_angle_alpha 90.00
_cell_angle_beta 90.00
_cell_angle_gamma 120.00
_symmetry_space_group_name_H-M 'P 1'
_symmetry_Int_Tables_number 1
loop_
_symmetry_equiv_pos_as_xyz
'x,y,z'
loop_
_atom_site_label
_atom_site_fract_x
_atom_site_fract_y
_atom_site_fract_z
_atom_site_occupancy
Co1 0.000 0.000 0.500 1
Co2 0.000 0.000 0.000 1
Mg1 0.667 0.333 0.750 1
Mg2 0.333 0.667 0.250 1
F1 0.000 0.000 0.750 1
F2 0.000 0.000 0.250 1
# Uncorrected energy   -3.56 eV/atom

---

no.,volume (Å³ per atom),total moment (μB/atom),mass density (kg/m³)
1,11.7,0.5551,3654
2,12.4,0.1674,3508
3,11.1,0.3857,3610
4,15.9,0.6651,3555
5,13.5,0.6474,4195
6,15.2,0.5668,3306
7,13.6,0.6420,4147
8,15.3,0.6258,3702
9,17.0,0.5526,2956
10,14.9,0.7728,3804
11,12.1,0.3793,3521
12,16.0,0.6790,3531